KCu | GGA-PBE | relaxed

The structure belongs to space group R-3m (No. 166, hexagonal axes); the cell edges are 4.2656, 4.2656 and 26.5940 Å and the angles 90.00°, 90.00° and 120.00°. The asymmetric unit holds K at (0.0000, 0.0000, 0.0870) and Cu at (0.0000, 0.0000, 0.3334).

The total magnetization comes out at 0.0 μB per cell. The energy of formation is 0.243 eV/atom. The calculation puts the density of states at the Fermi level at 3.62 states/eV per cell. The offset from the most stable computed form is 0.000 eV/atom.